A plane-wave DFT calculation with PBE+U was carried out for a relaxed ThMnCr2O6 crystal.

Summary:
M_tot (μB per formula unit): 11.0
SG: No. 146
Volume (Å³/cell): 117.3
Fermi-level density of states (states/eV/f.u.): 0.0
Total DFT energy (no corrections) (Ry per atom): -0.6133
Calculated density (Mg/m³): 6.89

Unit cell a=5.5211 b=5.5211 c=5.5211 alpha=59.38 beta=59.38 gamma=59.38
Fractional coordinates of all 10 atoms:
Th  0.0000  0.0000  0.0000
Mn  0.4883  0.4883  0.4883
Cr  0.2652  0.2652  0.2652
Cr  0.7683  0.7683  0.7683
O  0.0392  0.6094  0.4277
O  0.1284  0.5384  0.9085
O  0.4277  0.0392  0.6094
O  0.5384  0.9085  0.1284
O  0.6094  0.4277  0.0392
O  0.9085  0.1284  0.5384